No. 1
A relaxed LaZrFe2N crystal. Source: the Alexandria database, functional PBE-GGA.

Output
V: 100.31 Å³/cell
Fermi-level density of states: 7.2 states/eV per cell
Uncorrected formation energy: 1.356 eV per atom
Theoretical density: 5.89 Mg/m³

abc: 4.8952 4.1860 4.8952
angles: 90.00 90.00 90.00
Fractional coordinates of all 5 atoms:
Fe  0.0000  0.0000  0.5000
Fe  0.5000  0.0000  0.0000
Zr  0.5000  0.5000  0.5000
N  0.0000  0.5000  0.0000
La  0.0000  0.0000  0.0000

No. 2
A relaxed Na2HgSeBr crystal. Source: the Alexandria database, functional PBE-GGA.

Output
V: 167.52 Å³/cell
Fermi-level density of states: 0.9 states/eV per cell
Uncorrected formation energy: -0.840 eV per atom
Theoretical density: 4.02 Mg/m³

abc: 5.5968 5.5968 5.3478
angles: 90.00 90.00 90.00
Fractional coordinates of all 5 atoms:
Na  0.0000  0.5000  0.0000
Na  0.5000  0.0000  0.0000
Br  0.5000  0.5000  0.5000
Se  0.0000  0.0000  0.0000
Hg  0.0000  0.0000  0.5000

No. 3
A relaxed Al2Bi2Sb crystal. Source: the Alexandria database, functional PBE-GGA.

Output
V: 133.70 Å³/cell
Fermi-level density of states: 3.1 states/eV per cell
Uncorrected formation energy: 0.220 eV per atom
Energy relative to the lowest polymorph listed for this composition: 0 meV per atom
Theoretical density: 7.37 Mg/m³

abc: 3.9555 3.9555 8.9911
angles: 77.29 77.29 90.00
Fractional coordinates of all 5 atoms:
Sb  0.0000  0.0000  0.0000
Al  0.2500  0.7500  0.5000
Al  0.7500  0.2500  0.5000
Bi  0.3881  0.3881  0.2238
Bi  0.6119  0.6119  0.7762

No. 4
A relaxed Ca5Tl2N crystal. Source: the Alexandria database, functional PBE-GGA.

Output
V: 906.46 Å³/cell
Fermi-level density of states: 24.3 states/eV per cell
Uncorrected formation energy: -0.498 eV per atom
Theoretical density: 4.57 Mg/m³

abc: 7.0298 8.9208 14.4545
angles: 90.00 90.00 90.00
Fractional coordinates of all 32 atoms:
Ca  0.4969  0.8346  0.3869
Ca  0.2500  0.2907  0.9046
Ca  0.0000  0.5000  0.5000
Ca  0.7500  0.9743  0.8029
Ca  0.9969  0.6654  0.8869
Ca  0.2500  0.5257  0.3029
Ca  0.7500  0.4743  0.6971
Ca  0.5000  0.5000  0.5000
Ca  0.0031  0.3346  0.1131
Ca  0.7500  0.2093  0.4046
Ca  0.5031  0.1654  0.6131
Ca  0.5000  0.0000  0.0000
Ca  0.4969  0.3346  0.1131
Ca  0.7500  0.7093  0.0954
Ca  0.5031  0.6654  0.8869
Ca  0.0000  0.0000  0.0000
Ca  0.0031  0.8346  0.3869
Ca  0.9969  0.1654  0.6131
Ca  0.2500  0.7907  0.5954
Ca  0.2500  0.0257  0.1971
Tl  0.2500  0.4823  0.7141
Tl  0.7500  0.3255  0.9073
Tl  0.2500  0.1745  0.4073
Tl  0.7500  0.0177  0.2141
Tl  0.7500  0.8255  0.5927
Tl  0.2500  0.6745  0.0927
Tl  0.2500  0.9823  0.7859
Tl  0.7500  0.5177  0.2859
N  0.7500  0.8260  0.9398
N  0.2500  0.1740  0.0602
N  0.7500  0.3260  0.5602
N  0.2500  0.6740  0.4398

No. 5
A relaxed LaHoPuSc crystal. Source: the Alexandria database, functional PBE-GGA.

Output
V: 120.64 Å³/cell
Fermi-level density of states: 11.6 states/eV per cell
DFT formation energy: 0.211 eV/atom
Theoretical density: 8.16 Mg/m³

abc: 5.5463 5.5463 5.5463
angles: 60.00 60.00 60.00
Fractional coordinates of all 4 atoms:
La  0.7500  0.7500  0.7500
Ho  0.5000  0.5000  0.5000
Pu  0.2500  0.2500  0.2500
Sc  0.0000  0.0000  0.0000

No. 6
A relaxed CrHg2Pb crystal. Source: the Alexandria database, functional PBE-GGA.

Output
V: 95.17 Å³/cell
Fermi-level density of states: 1.5 states/eV per cell
DFT formation energy: 0.399 eV/atom
Theoretical density: 11.52 Mg/m³

abc: 5.1248 5.1248 5.1248
angles: 60.00 60.00 60.00
Fractional coordinates of all 4 atoms:
Pb  0.7500  0.7500  0.7500
Hg  0.2500  0.2500  0.2500
Hg  0.0000  0.0000  0.0000
Cr  0.5000  0.5000  0.5000

No. 7
A relaxed Y8GaP3Se4 crystal. Source: the Alexandria database, functional PBE-GGA.

Output
V: 383.69 Å³/cell
Fermi-level density of states: 3.6 states/eV per cell
Uncorrected formation energy: -1.642 eV per atom
Theoretical density: 5.15 Mg/m³

abc: 8.1263 8.1871 8.1261
angles: 119.75 120.00 90.00
Fractional coordinates of all 16 atoms:
Ga  0.0000  0.5000  0.0000
Y  0.2570  0.2658  0.0114
Y  0.2456  0.7342  0.9886
Y  0.7430  0.7342  0.9886
Y  0.7544  0.2658  0.5088
Y  0.2456  0.7342  0.4912
Y  0.7428  0.7285  0.4857
Y  0.2572  0.2715  0.5143
Y  0.7544  0.2658  0.0114
Se  0.0000  0.0000  0.5000
Se  0.5000  0.0000  0.0000
Se  0.0000  0.0000  0.0000
Se  0.5000  0.0000  0.5000
P  0.0000  0.5000  0.5000
P  0.5000  0.5000  0.0000
P  0.5000  0.5000  0.5000

No. 8
A relaxed Li3Ac2DySe6 crystal. Source: the Alexandria database, functional PBE-GGA.

Output
V: 304.80 Å³/cell
Fermi-level density of states: 0.0 states/eV per cell
Uncorrected formation energy: -1.710 eV per atom
Theoretical density: 6.05 Mg/m³

abc: 4.2739 7.9023 9.2751
angles: 90.75 103.32 90.00
Fractional coordinates of all 12 atoms:
Se  0.6576  0.5256  0.3152
Se  0.0160  0.2459  0.0320
Se  0.6593  0.9732  0.3185
Se  0.3424  0.4744  0.6848
Se  0.3407  0.0268  0.6815
Se  0.9840  0.7541  0.9680
Li  0.5000  0.5000  0.0000
Li  0.8777  0.2719  0.7554
Li  0.1223  0.7281  0.2446
Ac  0.8071  0.7441  0.6143
Ac  0.1929  0.2559  0.3857
Dy  0.5000  0.0000  0.0000

No. 9
A relaxed ScAg2Au crystal. Source: the Alexandria database, functional PBE-GGA.

Output
V: 166.73 Å³/cell
Fermi-level density of states: 4.2 states/eV per cell
DFT formation energy: 0.005 eV/atom
Energy relative to the lowest polymorph listed for this composition: 372 meV per atom
Theoretical density: 9.12 Mg/m³

abc: 7.7342 7.7342 6.1382
angles: 50.95 50.95 90.00
Fractional coordinates of all 8 atoms:
Ag  0.8750  0.8845  0.7500
Ag  0.1155  0.6250  0.2500
Ag  0.3750  0.3655  0.7500
Ag  0.6345  0.1250  0.2500
Au  0.7500  0.2500  0.5000
Au  0.0000  0.0000  0.0000
Sc  0.5000  0.5000  0.0000
Sc  0.2500  0.7500  0.5000

No. 10
A relaxed Al2Cu3Pd3 crystal. Source: the Alexandria database, functional PBE-GGA.

Output
V: 109.71 Å³/cell
Fermi-level density of states: 2.8 states/eV per cell
DFT formation energy: -0.497 eV/atom
Theoretical density: 8.53 Mg/m³

abc: 3.9035 3.9773 7.0665
angles: 90.00 90.00 90.00
Fractional coordinates of all 8 atoms:
Pd  0.0000  0.5000  0.5000
Pd  0.5000  0.0000  0.5000
Pd  0.5000  0.0000  0.0000
Al  0.0000  0.0000  0.7486
Al  0.0000  0.0000  0.2514
Cu  0.5000  0.5000  0.2437
Cu  0.0000  0.5000  0.0000
Cu  0.5000  0.5000  0.7563

No. 11
A relaxed EuMgPtRh crystal. Source: the Alexandria database, functional PBE-GGA.

Output
V: 76.44 Å³/cell
Fermi-level density of states: 10.0 states/eV per cell
DFT formation energy: -0.528 eV/atom
Theoretical density: 10.30 Mg/m³

abc: 4.7636 4.7636 4.7636
angles: 60.00 60.00 60.00
Fractional coordinates of all 4 atoms:
Pt  0.7500  0.7500  0.7500
Rh  0.2500  0.2500  0.2500
Eu  0.0000  0.0000  0.0000
Mg  0.5000  0.5000  0.5000

No. 12
A relaxed Tb3HoCo8 crystal. Source: the Alexandria database, functional PBE-GGA.

Output
V: 184.71 Å³/cell
Fermi-level density of states: 15.7 states/eV per cell
DFT formation energy: -0.192 eV/atom
Theoretical density: 10.01 Mg/m³

abc: 5.0724 5.0724 8.7917
angles: 73.23 73.23 60.00
Fractional coordinates of all 12 atoms:
Co  0.9366  0.4374  0.1886
Co  0.9374  0.9374  0.6865
Co  0.9374  0.4387  0.6865
Co  0.4374  0.4374  0.1886
Co  0.4387  0.9374  0.6865
Co  0.6875  0.6875  0.9376
Co  0.4374  0.9366  0.1886
Co  0.1876  0.1876  0.4372
Tb  0.5000  0.5000  0.4999
Tb  0.3750  0.3750  0.8751
Tb  0.9999  0.9999  0.0002
Ho  0.8750  0.8750  0.3749

Question: Which value of V does entry 11 give?
Answer: 76.44 Å³/cell

Question: The lowest theoretical density belongs to which entry?
Answer: Na2HgSeBr

Question: Look up the theoretical density of the eighth one.
Answer: 6.05 Mg/m³